(1)
# PBE PuBAs, relaxed
# density of states at the Fermi level = 1.077 states/eV/atom
# formation enthalpy at 0 K = 0.5 eV per formula unit
# calculated volume = 90.5 Å³ per cell
data_PuBAs
_space_group_name_H-M_alt 'P 1'
_space_group_IT_number 1
_cell_length_a 5.198
_cell_length_b 3.353
_cell_length_c 5.809
_cell_angle_alpha 90.00
_cell_angle_beta 116.58
_cell_angle_gamma 90.00
loop_
_space_group_symop_operation_xyz
'x,y,z'
loop_
_atom_site_label
_atom_site_fract_x
_atom_site_fract_y
_atom_site_fract_z
Pu1 0.419 0.250 0.838
Pu2 0.581 0.750 0.162
As1 0.876 0.750 0.753
As2 0.124 0.250 0.247
B1 0.764 0.250 0.527
B2 0.236 0.750 0.473


(2)
# PBE La2BS4, relaxed
# density of states at the Fermi level = 0.253 states/eV/atom
# calculated volume = 299.0 Å³ per cell
# formation energy from raw total energies = -1496 meV per atom
data_La2BS4
_space_group_name_H-M_alt 'P 1'
_space_group_IT_number 1
_cell_length_a 6.480
_cell_length_b 6.191
_cell_length_c 7.812
_cell_angle_alpha 90.00
_cell_angle_beta 107.43
_cell_angle_gamma 90.00
loop_
_space_group_symop_operation_xyz
'x,y,z'
loop_
_atom_site_label
_atom_site_fract_x
_atom_site_fract_y
_atom_site_fract_z
La1 0.739 0.750 0.059
La2 0.261 0.250 0.941
La3 0.229 0.250 0.433
La4 0.771 0.750 0.567
B1 0.290 0.750 0.202
B2 0.710 0.250 0.798
S1 0.483 0.507 0.256
S2 0.128 0.750 0.943
S3 0.872 0.250 0.057
S4 0.483 0.993 0.256
S5 0.887 0.250 0.627
S6 0.517 0.007 0.744
S7 0.517 0.493 0.744
S8 0.113 0.750 0.373


(3)
# PBE RbDyC2O6, relaxed
# density of states at the Fermi level = 0.000 states/eV/atom
# calculated volume = 280.5 Å³ per cell
# formation energy from raw total energies = -2148 meV per atom
data_RbDyC2O6
_space_group_name_H-M_alt 'P 1'
_space_group_IT_number 1
_cell_length_a 6.463
_cell_length_b 6.463
_cell_length_c 7.218
_cell_angle_alpha 104.11
_cell_angle_beta 104.11
_cell_angle_gamma 94.47
loop_
_space_group_symop_operation_xyz
'x,y,z'
loop_
_atom_site_label
_atom_site_fract_x
_atom_site_fract_y
_atom_site_fract_z
Rb1 0.110 0.890 0.250
Rb2 0.890 0.110 0.750
Dy1 0.594 0.406 0.250
Dy2 0.406 0.594 0.750
C1 0.401 0.148 0.757
C2 0.852 0.599 0.743
C3 0.599 0.852 0.243
C4 0.148 0.401 0.257
O1 0.948 0.402 0.244
O2 0.598 0.052 0.256
O3 0.052 0.598 0.756
O4 0.402 0.948 0.744
O5 0.218 0.272 0.126
O6 0.728 0.782 0.374
O7 0.782 0.728 0.874
O8 0.272 0.218 0.626
O9 0.299 0.537 0.403
O10 0.463 0.701 0.097
O11 0.701 0.463 0.597
O12 0.537 0.299 0.903


(4)
# PBE CsYWN2, relaxed
# density of states at the Fermi level = 0.754 states/eV/atom
# calculated volume = 93.8 Å³ per cell
# formation energy from raw total energies = 1282 meV per atom
data_CsYWN2
_space_group_name_H-M_alt 'P 1'
_space_group_IT_number 1
_cell_length_a 4.151
_cell_length_b 5.446
_cell_length_c 4.151
_cell_angle_alpha 90.00
_cell_angle_beta 90.00
_cell_angle_gamma 90.00
loop_
_space_group_symop_operation_xyz
'x,y,z'
loop_
_atom_site_label
_atom_site_fract_x
_atom_site_fract_y
_atom_site_fract_z
Cs1 0.000 0.500 0.000
Y1 0.500 0.500 0.500
W1 0.000 0.000 0.000
N1 0.000 0.000 0.500
N2 0.500 0.000 0.000


(5)
# PBE TlGaC3, relaxed
# density of states at the Fermi level = 1.164 states/eV/atom
# energy above the most stable polymorph in this dataset = 805 meV/atom
# formation enthalpy at 0 K = 17.2 eV per formula unit
# calculated volume = 90.3 Å³ per cell
data_TlGaC3
_space_group_name_H-M_alt 'P 1'
_space_group_IT_number 1
_cell_length_a 4.487
_cell_length_b 4.487
_cell_length_c 4.487
_cell_angle_alpha 90.00
_cell_angle_beta 90.00
_cell_angle_gamma 90.00
loop_
_space_group_symop_operation_xyz
'x,y,z'
loop_
_atom_site_label
_atom_site_fract_x
_atom_site_fract_y
_atom_site_fract_z
Tl1 0.000 0.000 0.000
C1 0.000 0.500 0.000
C2 0.000 0.000 0.500
C3 0.500 0.000 0.000
Ga1 0.500 0.500 0.500


(6)
# PBE AcCd8Au2, relaxed
# density of states at the Fermi level = 0.428 states/eV/atom
# formation enthalpy at 0 K = 0.5 eV per formula unit
# calculated volume = 339.6 Å³ per cell
data_AcCd8Au2
_space_group_name_H-M_alt 'P 1'
_space_group_IT_number 1
_cell_length_a 6.013
_cell_length_b 6.013
_cell_length_c 9.390
_cell_angle_alpha 90.00
_cell_angle_beta 90.00
_cell_angle_gamma 90.00
loop_
_space_group_symop_operation_xyz
'x,y,z'
loop_
_atom_site_label
_atom_site_fract_x
_atom_site_fract_y
_atom_site_fract_z
Ac1 0.500 0.500 0.500
Cd1 0.753 0.753 0.211
Cd2 0.753 0.247 0.789
Cd3 0.753 0.753 0.789
Cd4 0.753 0.247 0.211
Cd5 0.247 0.753 0.211
Cd6 0.247 0.753 0.789
Cd7 0.247 0.247 0.211
Cd8 0.247 0.247 0.789
Au1 0.500 0.000 0.000
Au2 0.000 0.500 0.000